This record from Alexandria describes an optimized crystal structure of Ti2SbTe4. The functional is PBE.

Cell lengths 5.8223, 5.8223, 8.0015 Å; angles 68.66, 68.66, 90.00 degrees
Atoms (fractional coordinates):
Ti 0.5939 0.5939 0.8122
Sb 0.0000 0.0000 0.0000
Te 0.2220 0.2220 0.5559
Te 0.7780 0.7780 0.4441
Te 0.5000 0.0000 0.0000
Te 0.0000 0.5000 0.0000
Ti 0.4061 0.4061 0.1878

Values from the calculation:
Energy relative to the elements, uncorrected: 1.3 eV per formula unit
Final energy: -31.14 eV per formula unit
Size of the total moment: 2.44 μB per formula unit

This record from Alexandria describes an optimized crystal structure of Tm5AlTl2. The functional is PBE.

Cell lengths 4.4174, 6.0569, 17.2477 Å; angles 90.00, 90.00, 111.39 degrees
Atoms (fractional coordinates):
Tl 0.7594 0.5188 0.1538
Tm 0.5424 0.0848 0.7500
Tl 0.2406 0.4812 0.6538
Al 0.1745 0.3490 0.2500
Tm 0.9541 0.9083 0.6000
Tl 0.7594 0.5188 0.3462
Tm 0.0459 0.0917 0.4000
Al 0.8255 0.6510 0.7500
Tm 0.3472 0.6945 0.0398
Tm 0.0459 0.0917 0.1000
Tm 0.6528 0.3055 0.5398
Tm 0.3472 0.6945 0.4602
Tm 0.4576 0.9152 0.2500
Tm 0.6528 0.3055 0.9602
Tm 0.9541 0.9083 0.9000
Tl 0.2406 0.4812 0.8462

Values from the calculation:
Final energy: -31.92 eV per formula unit
Calculated formation energy: -0.1364 eV per atom
Size of the total moment: 0.00 μB per formula unit

This record from Alexandria describes an optimized crystal structure of V2Sn2Pt. The functional is PBE.

Cell lengths 6.6783, 6.6783, 4.0908 Å; angles 90.00, 90.00, 90.00 degrees
Atoms (fractional coordinates):
Pt 0.0000 0.0000 0.0000
Sn 0.1785 0.6785 0.5000
Sn 0.6785 0.8215 0.5000
Pt 0.5000 0.5000 0.0000
Sn 0.3215 0.1785 0.5000
Sn 0.8215 0.3215 0.5000
V 0.1199 0.3801 0.0000
V 0.6199 0.1199 0.0000
V 0.3801 0.8801 0.0000
V 0.8801 0.6199 0.0000

Values from the calculation:
Final energy: -32.09 eV per formula unit
Calculated formation energy: 0.0388 eV per atom
Size of the total moment: 0.35 μB per formula unit

This record from Alexandria describes an optimized crystal structure of AlReAg3. The functional is PBE.

Cell lengths 4.7172, 4.7172, 4.7172 Å; angles 90.00, 90.00, 90.00 degrees
Atoms (fractional coordinates):
Ag 0.5000 0.0000 0.0000
Ag 0.0000 0.5000 0.0000
Re 0.5000 0.5000 0.5000
Ag 0.0000 0.0000 0.5000
Al 0.0000 0.0000 0.0000

Values from the calculation:
Final energy: -17.69 eV per formula unit
Calculated formation energy: 1.4112 eV per atom
Size of the total moment: 3.50 μB per formula unit
E above lowest polymorph: 0 meV per atom

This record from Alexandria describes an optimized crystal structure of BrO2F. The functional is PBE.

Cell lengths 5.1426, 3.8651, 16.1377 Å; angles 87.80, 90.00, 90.00 degrees
Atoms (fractional coordinates):
F 0.8146 0.5491 0.7205
F 0.6854 0.0492 0.2206
O 0.7382 0.4155 0.0722
O 0.2382 0.0846 0.4278
O 0.3059 0.0402 0.1044
O 0.7618 0.9154 0.5722
Br 0.9944 0.8317 0.6378
F 0.1854 0.4509 0.2795
O 0.6941 0.9598 0.8956
Br 0.5056 0.3318 0.1378
O 0.2618 0.5845 0.9278
Br 0.0056 0.1683 0.3622
O 0.8059 0.4599 0.3957
F 0.3146 0.9508 0.7794
O 0.1941 0.5401 0.6043
Br 0.4944 0.6682 0.8622

Values from the calculation:
Energy relative to the elements, uncorrected: -0.6 eV per formula unit
Final energy: -14.07 eV per formula unit
Size of the total moment: 0.00 μB per formula unit

This record from Alexandria describes an optimized crystal structure of Sc2V2Os. The functional is PBE.

Cell lengths 6.2143, 6.2143, 4.6414 Å; angles 90.00, 90.00, 90.00 degrees
Atoms (fractional coordinates):
Sc 0.3277 0.1723 0.5000
Sc 0.1723 0.6723 0.5000
V 0.6365 0.1365 0.0000
V 0.8635 0.6365 0.0000
V 0.3635 0.8635 0.0000
Os 0.0000 0.0000 0.0000
Os 0.5000 0.5000 0.0000
Sc 0.6723 0.8277 0.5000
V 0.1365 0.3635 0.0000
Sc 0.8277 0.3277 0.5000

Values from the calculation:
Final energy: -42.15 eV per formula unit
Calculated formation energy: -0.0040 eV per atom
Size of the total moment: 0.72 μB per formula unit

This record from Alexandria describes an optimized crystal structure of CaAgW2. The functional is PBE.

Cell lengths 5.0660, 3.8731, 3.8731 Å; angles 90.00, 90.00, 90.00 degrees
Atoms (fractional coordinates):
Ag 0.5000 0.5000 0.0000
W 0.0000 0.0000 0.0000
Ca 0.5000 0.0000 0.5000
W 0.0000 0.5000 0.5000

Values from the calculation:
Final energy: -27.55 eV per formula unit
Calculated formation energy: 0.8014 eV per atom
Size of the total moment: 0.00 μB per formula unit
E above lowest polymorph: 319 meV per atom

This record from Alexandria describes an optimized crystal structure of Nd5CuSe4. The functional is PBE.

Cell lengths 6.0021, 7.3084, 7.3084 Å; angles 80.29, 65.76, 65.76 degrees
Atoms (fractional coordinates):
Nd 0.9008 0.3960 0.8042
Nd 0.5013 0.0000 0.0000
Se 0.8033 0.7945 0.6007
Se 0.5978 0.6007 0.2055
Nd 0.7050 0.1958 0.3960
Se 0.1985 0.2055 0.3993
Cu 0.0021 0.0000 0.0000
Nd 0.2968 0.8042 0.6040
Se 0.4039 0.3993 0.7945
Nd 0.1010 0.6040 0.1958

Values from the calculation:
Energy relative to the elements, uncorrected: -15.2 eV per formula unit
Final energy: -57.04 eV per formula unit
Size of the total moment: 0.00 μB per formula unit

This record from Alexandria describes an optimized crystal structure of FeTcNi2. The functional is PBE.

Cell lengths 4.1567, 2.5331, 4.5455 Å; angles 89.98, 90.00, 90.00 degrees
Atoms (fractional coordinates):
Ni 0.5000 0.1251 0.2776
Ni 0.0000 0.1251 0.9682
Fe 0.5000 0.6253 0.7882
Tc 0.0000 0.6245 0.4659

Values from the calculation:
Final energy: -30.35 eV per formula unit
Calculated formation energy: 0.0113 eV per atom
Size of the total moment: 2.87 μB per formula unit
E above lowest polymorph: 14 meV per atom

This record from Alexandria describes an optimized crystal structure of Sm3YHo. The functional is PBE.

Cell lengths 9.6762, 5.7569, 6.3201 Å; angles 90.00, 109.12, 90.00 degrees
Atoms (fractional coordinates):
Sm 0.8011 0.4500 0.2328
Ho 0.7983 0.9500 0.5627
Ho 0.2017 0.4500 0.4373
Sm 0.0013 0.9500 0.1666
Sm 0.1989 0.9500 0.7672
Y 0.6005 0.9500 0.9654
Y 0.3995 0.4500 0.0346
Sm 0.9987 0.4500 0.8334
Sm 0.3991 0.9500 0.3694
Sm 0.6009 0.4500 0.6306

Values from the calculation:
Final energy: -25.12 eV per formula unit
Calculated formation energy: 0.0165 eV per atom
Size of the total moment: 0.00 μB per formula unit
E above lowest polymorph: 0 meV per atom

This record from Alexandria describes an optimized crystal structure of CsGeO. The functional is PBE.

Cell lengths 6.9400, 7.8330, 4.4621 Å; angles 90.15, 89.95, 128.07 degrees
Atoms (fractional coordinates):
O 0.1488 0.8110 0.2490
Ge 0.0323 0.1020 0.7504
Cs 0.3328 0.7098 0.7486
Cs 0.6672 0.2902 0.2514
Ge 0.9677 0.8980 0.2496
O 0.8512 0.1890 0.7510

Values from the calculation:
Energy relative to the elements, uncorrected: -3.2 eV per formula unit
Final energy: -13.63 eV per formula unit
Size of the total moment: 0.00 μB per formula unit
E above lowest polymorph: 0 meV per atom

This record from Alexandria describes an optimized crystal structure of Pm11Dy9Er4. The functional is PBE.

Cell lengths 3.6451, 15.3688, 15.3688 Å; angles 113.21, 90.00, 90.00 degrees
Atoms (fractional coordinates):
Dy 0.5000 0.9320 0.7860
Pm 0.0000 0.2924 0.2924
Er 0.5000 0.7588 0.5554
Dy 0.5000 0.6301 0.1655
Pm 0.0000 0.4055 0.0432
Dy 0.5000 0.1655 0.6301
Er 0.5000 0.4446 0.2412
Pm 0.0000 0.5945 0.9568
Dy 0.5000 0.5000 0.5000
Pm 0.0000 0.0432 0.4055
Pm 0.0000 0.6314 0.3686
Pm 0.0000 0.3686 0.6314
Pm 0.0000 0.1608 0.8392
Er 0.5000 0.5554 0.7588
Dy 0.5000 0.0680 0.2140
Er 0.5000 0.2412 0.4446
Pm 0.0000 0.9568 0.5945
Pm 0.0000 0.0000 0.0000
Dy 0.5000 0.8345 0.3699
Dy 0.5000 0.7860 0.9320
Dy 0.5000 0.3699 0.8345
Dy 0.5000 0.2140 0.0680
Pm 0.0000 0.7076 0.7076
Pm 0.0000 0.8392 0.1608

Values from the calculation:
Final energy: -110.64 eV per formula unit
Calculated formation energy: 0.0535 eV per atom
Size of the total moment: 0.00 μB per formula unit

- What is the formula in the tenth record?
  Sm3YHo

- What is the size of the total moment in the third record?
  0.35 μB per formula unit